Material: Zn2InBi2
Method: DFT, PBE
State: optimized geometry

Cell and atoms, written as CIF:
```
data_Zn2InBi2
_chemical_formula_sum 'Zn4 In2 Bi4'
_symmetry_space_group_name_H-M 'P 1'
_symmetry_Int_Tables_number 1
_cell_length_a 8.851
_cell_length_b 8.851
_cell_length_c 3.373
_cell_angle_alpha 90.00
_cell_angle_beta 90.00
_cell_angle_gamma 90.00
loop_
_symmetry_equiv_pos_as_xyz
'x,y,z'
loop_
_atom_site_label
_atom_site_fract_x
_atom_site_fract_y
_atom_site_fract_z
Zn1 0.104 0.604 0.500
Zn2 0.604 0.896 0.500
Zn3 0.396 0.104 0.500
Zn4 0.896 0.396 0.500
Bi1 0.303 0.803 0.000
Bi2 0.803 0.697 0.000
Bi3 0.697 0.197 0.000
Bi4 0.197 0.303 0.000
In1 0.000 0.000 0.000
In2 0.500 0.500 0.000
```

## Properties
For the total moment, the calculation gives 0.000 μB/f.u. The calculation puts the distance to the lowest polymorph of the same formula at 0.40 eV per formula unit. The calculation puts the formation enthalpy at 0 K at 0.1637 eV per atom.

---

Material: Li2AgS2
Method: DFT, PBE
State: optimized geometry

Cell and atoms, written as CIF:
```
data_Li2AgS2
_chemical_formula_sum 'Li2 Ag1 S2'
_symmetry_space_group_name_H-M 'P 1'
_symmetry_Int_Tables_number 1
_cell_length_a 3.613
_cell_length_b 3.613
_cell_length_c 7.346
_cell_angle_alpha 75.76
_cell_angle_beta 75.76
_cell_angle_gamma 90.00
loop_
_symmetry_equiv_pos_as_xyz
'x,y,z'
loop_
_atom_site_label
_atom_site_fract_x
_atom_site_fract_y
_atom_site_fract_z
Li1 0.620 0.620 0.760
Li2 0.380 0.380 0.240
S1 0.750 0.250 0.500
S2 0.250 0.750 0.500
Ag1 0.000 0.000 0.000
```

## Properties
For the total moment, the calculation gives 0.000 μB/f.u. The calculation puts the distance to the lowest polymorph of the same formula at 2.14 eV per formula unit.

---

Material: Pm5In2HgIr2
Method: DFT, PBE
State: optimized geometry

Cell and atoms, written as CIF:
```
data_Pm5In2HgIr2
_chemical_formula_sum 'Pm10 In4 Hg2 Ir4'
_symmetry_space_group_name_H-M 'P 1'
_symmetry_Int_Tables_number 1
_cell_length_a 3.805
_cell_length_b 12.055
_cell_length_c 12.055
_cell_angle_alpha 90.00
_cell_angle_beta 90.00
_cell_angle_gamma 90.00
loop_
_symmetry_equiv_pos_as_xyz
'x,y,z'
loop_
_atom_site_label
_atom_site_fract_x
_atom_site_fract_y
_atom_site_fract_z
Ir1 0.000 0.867 0.367
Ir2 0.000 0.633 0.867
Ir3 0.000 0.367 0.133
Ir4 0.000 0.133 0.633
Pm1 0.500 0.075 0.794
Pm2 0.500 0.706 0.425
Pm3 0.500 0.294 0.575
Pm4 0.500 0.206 0.075
Pm5 0.500 0.425 0.294
Pm6 0.500 0.500 0.000
Pm7 0.500 0.575 0.706
Pm8 0.500 0.794 0.925
Pm9 0.500 0.000 0.500
Pm10 0.500 0.925 0.206
In1 0.000 0.677 0.177
In2 0.000 0.323 0.823
In3 0.000 0.177 0.323
In4 0.000 0.823 0.677
Hg1 0.000 0.000 0.000
Hg2 0.000 0.500 0.500
```

## Properties
For the total moment, the calculation gives 0.000 μB/f.u. The calculation puts the formation enthalpy at 0 K at -0.5241 eV per atom.

---

Material: Sb2P3Cl9
Method: DFT, PBE
State: optimized geometry

Cell and atoms, written as CIF:
```
data_Sb2P3Cl9
_chemical_formula_sum 'Sb2 P3 Cl9'
_symmetry_space_group_name_H-M 'P 1'
_symmetry_Int_Tables_number 1
_cell_length_a 7.562
_cell_length_b 7.562
_cell_length_c 12.149
_cell_angle_alpha 86.39
_cell_angle_beta 93.61
_cell_angle_gamma 117.17
loop_
_symmetry_equiv_pos_as_xyz
'x,y,z'
loop_
_atom_site_label
_atom_site_fract_x
_atom_site_fract_y
_atom_site_fract_z
Cl1 0.567 0.231 0.935
Cl2 0.121 0.121 0.000
Cl3 0.603 0.877 0.337
Cl4 0.419 0.725 0.663
Cl5 0.097 0.182 0.682
Cl6 0.182 0.097 0.318
Cl7 0.725 0.419 0.337
Cl8 0.877 0.603 0.663
Cl9 0.231 0.567 0.065
P1 0.380 0.380 0.000
P2 0.353 0.618 0.362
P3 0.618 0.353 0.638
Sb1 0.396 0.430 0.762
Sb2 0.430 0.396 0.238
```

## Properties
For the total moment, the calculation gives 1.959 μB/f.u. The calculation puts the distance to the lowest polymorph of the same formula at 0.54 eV per formula unit.